1 | ## Tb2SiO5 (PBE)

Data for a relaxed Tb2SiO5 crystal.

a b c (Å): 9.040 6.869 6.692
angles (deg): 90.00 106.09 90.00
Space group P2_1/c (No. 14)
Inequivalent atoms, fractional coordinates:
Tb (0.027, 0.125, 0.233) x4
Tb (0.377, 0.140, 0.063) x4
Si (0.299, 0.590, 0.029) x4
O (0.114, 0.636, 0.994) x4
O (0.115, 0.119, 0.941) x4
O (0.292, 0.070, 0.341) x4
O (0.376, 0.049, 0.729) x4
O (0.394, 0.715, 0.522) x4


2 | ## Tb2SiO5 (PBE)

Data for a relaxed Tb2SiO5 crystal.

a b c (Å): 14.445 6.702 10.363
angles (deg): 90.00 122.10 90.00
Space group C2/c (No. 15)
Inequivalent atoms, fractional coordinates:
Tb (0.036, 0.247, 0.462) x8
Tb (0.141, 0.130, 0.833) x8
Si (0.181, 0.409, 0.310) x8
O (0.019, 0.097, 0.900) x8
O (0.090, 0.493, 0.646) x8
O (0.118, 0.209, 0.316) x8
O (0.198, 0.438, 0.945) x8
O (0.203, 0.144, 0.672) x8


So which one wins? Going from most stable to least: 2, 1.


1 | ## Tb2SiO4 (PBE)

Data for a relaxed Tb2SiO4 crystal.

a b c (Å): 9.485 9.485 9.485
angles (deg): 90.00 90.00 90.00
Space group Fd-3m (No. 227, origin choice 2)
Inequivalent atoms, fractional coordinates:
Tb (0.000, 0.000, 0.000) x16
Si (0.125, 0.125, 0.625) x8
O (0.008, 0.008, 0.242) x32


2 | ## Tb2SiO4 (PBE)

Data for a relaxed Tb2SiO4 crystal.

a b c (Å): 6.579 5.449 9.933
angles (deg): 90.00 90.00 90.00
Space group Pnma (No. 62)
Inequivalent atoms, fractional coordinates:
Tb (0.030, 0.250, 0.188) x4
Tb (0.111, 0.250, 0.548) x4
Si (0.160, 0.250, 0.837) x4
O (0.037, 0.750, 0.055) x4
O (0.155, 0.750, 0.618) x4
O (0.193, 0.504, 0.370) x8


So which one wins? Going from most stable to least: 2, 1.


1 | ## Tm2SiO5 (PBE)

Data for a relaxed Tm2SiO5 crystal.

a b c (Å): 14.268 6.634 10.207
angles (deg): 90.00 122.11 90.00
Space group C2/c (No. 15)
Inequivalent atoms, fractional coordinates:
Tm (0.036, 0.245, 0.465) x8
Tm (0.141, 0.125, 0.835) x8
Si (0.182, 0.409, 0.308) x8
O (0.018, 0.097, 0.898) x8
O (0.088, 0.499, 0.139) x8
O (0.118, 0.209, 0.321) x8
O (0.200, 0.430, 0.941) x8
O (0.201, 0.148, 0.675) x8


2 | ## Tm2SiO5 (PBE)

Data for a relaxed Tm2SiO5 crystal.

a b c (Å): 8.950 6.731 6.587
angles (deg): 90.00 104.98 90.00
Space group P2_1/c (No. 14)
Inequivalent atoms, fractional coordinates:
Tm (0.029, 0.125, 0.231) x4
Tm (0.370, 0.139, 0.047) x4
Si (0.299, 0.592, 0.022) x4
O (0.112, 0.638, 0.991) x4
O (0.113, 0.117, 0.935) x4
O (0.290, 0.070, 0.329) x4
O (0.375, 0.056, 0.718) x4
O (0.394, 0.708, 0.512) x4


So which one wins? Going from most stable to least: 1, 2.